1.
# LiCaSmSn

A relaxed LiCaSmSn crystal (GGA-PBE, Alexandria via LeMat-Bulk).

CIF file:
```
data_LiCaSmSn
_cell_length_a 7.571
_cell_length_b 7.571
_cell_length_c 7.571
_cell_angle_alpha 90.00
_cell_angle_beta 90.00
_cell_angle_gamma 90.00
_symmetry_space_group_name_H-M 'F -4 3 m'
_symmetry_Int_Tables_number 216
_symmetry_space_group_name_Hall 'F -4 2 3'
loop_
_atom_site_label
_atom_site_type_symbol
_atom_site_fract_x
_atom_site_fract_y
_atom_site_fract_z
Li1 Li 0.000 0.000 0.000
Ca1 Ca 0.250 0.250 0.250
Sm1 Sm 0.250 0.250 0.750
Sn1 Sn 0.000 0.000 0.500
```

* formation enthalpy at 0 K: -433.5 meV/atom

***

2.
# KSn3Pd

A relaxed KSn3Pd crystal (GGA-PBE, Alexandria via LeMat-Bulk).

CIF file:
```
data_KSn3Pd
_cell_length_a 9.060
_cell_length_b 7.202
_cell_length_c 9.759
_cell_angle_alpha 90.00
_cell_angle_beta 117.97
_cell_angle_gamma 90.00
_symmetry_space_group_name_H-M 'P 1 21/c 1'
_symmetry_Int_Tables_number 14
_symmetry_space_group_name_Hall '-P 2ybc'
loop_
_atom_site_label
_atom_site_type_symbol
_atom_site_fract_x
_atom_site_fract_y
_atom_site_fract_z
K1 K 0.130 0.080 0.227
Sn1 Sn 0.163 0.615 0.102
Sn2 Sn 0.307 0.013 0.940
Sn3 Sn 0.450 0.161 0.670
Pd1 Pd 0.451 0.680 0.053
```

* formation enthalpy at 0 K: -286.8 meV/atom

***

3.
# Pm4Sm3Sc2

A relaxed Pm4Sm3Sc2 crystal (GGA-PBE, Alexandria via LeMat-Bulk).

CIF file:
```
data_Pm4Sm3Sc2
_cell_length_a 15.135
_cell_length_b 5.046
_cell_length_c 7.917
_cell_angle_alpha 90.00
_cell_angle_beta 108.57
_cell_angle_gamma 90.00
_symmetry_space_group_name_H-M 'C 1 2/m 1'
_symmetry_Int_Tables_number 12
_symmetry_space_group_name_Hall '-C 2y'
loop_
_atom_site_label
_atom_site_type_symbol
_atom_site_fract_x
_atom_site_fract_y
_atom_site_fract_z
Pm1 Pm 0.054 0.000 0.327
Pm2 Pm 0.222 0.500 0.323
Sm1 Sm 0.000 0.500 0.000
Sm2 Sm 0.113 0.500 0.673
Sc1 Sc 0.170 0.000 0.999
```

* formation enthalpy at 0 K: 45.6 meV/atom

***

4.
# Co2NiSb

A relaxed Co2NiSb crystal (GGA-PBE, Alexandria via LeMat-Bulk).

CIF file:
```
data_Co2NiSb
_cell_length_a 2.965
_cell_length_b 3.404
_cell_length_c 5.248
_cell_angle_alpha 90.00
_cell_angle_beta 90.00
_cell_angle_gamma 90.00
_symmetry_space_group_name_H-M 'P m m m'
_symmetry_Int_Tables_number 47
_symmetry_space_group_name_Hall '-P 2 2'
loop_
_atom_site_label
_atom_site_type_symbol
_atom_site_fract_x
_atom_site_fract_y
_atom_site_fract_z
Co1 Co 0.000 0.000 0.231
Ni1 Ni 0.500 0.500 0.000
Sb1 Sb 0.500 0.500 0.500
```

***

5.
# MnAs

A relaxed MnAs crystal (GGA-PBE, Alexandria via LeMat-Bulk).

CIF file:
```
data_MnAs
_cell_length_a 3.6879
_cell_length_b 3.6879
_cell_length_c 11.4306
_cell_angle_alpha 90.00
_cell_angle_beta 90.00
_cell_angle_gamma 120.00
_symmetry_space_group_name_H-M 'P 63/m m c'
_symmetry_Int_Tables_number 194
_symmetry_space_group_name_Hall '-P 6c 2c'
loop_
_atom_site_label
_atom_site_type_symbol
_atom_site_fract_x
_atom_site_fract_y
_atom_site_fract_z
Mn1 Mn 0.3333 0.6667 0.1248
As1 As 0.0000 0.0000 0.0000
As2 As 0.3333 0.6667 0.7500
```

* formation enthalpy at 0 K: -140.6 meV/atom

***

6.
# Pr7ErPb4

A relaxed Pr7ErPb4 crystal (GGA-PBE, Alexandria via LeMat-Bulk).

CIF file:
```
data_Pr7ErPb4
_cell_length_a 14.634
_cell_length_b 6.027
_cell_length_c 11.234
_cell_angle_alpha 90.00
_cell_angle_beta 124.90
_cell_angle_gamma 90.00
_symmetry_space_group_name_H-M 'C 1 2/m 1'
_symmetry_Int_Tables_number 12
_symmetry_space_group_name_Hall '-C 2y'
loop_
_atom_site_label
_atom_site_type_symbol
_atom_site_fract_x
_atom_site_fract_y
_atom_site_fract_z
Pr1 Pr 0.000 0.000 0.000
Pr2 Pr 0.054 0.500 0.370
Pr3 Pr 0.196 0.000 0.621
Pr4 Pr 0.208 0.500 0.893
Er1 Er 0.000 0.500 0.000
Pb1 Pb 0.064 0.000 0.759
Pb2 Pb 0.201 0.000 0.329
```

* formation enthalpy at 0 K: -170.5 meV/atom

***

7.
# CrCuMo2

A relaxed CrCuMo2 crystal (GGA-PBE, Alexandria via LeMat-Bulk).

CIF file:
```
data_CrCuMo2
_cell_length_a 3.893
_cell_length_b 3.893
_cell_length_c 7.396
_cell_angle_alpha 90.00
_cell_angle_beta 90.00
_cell_angle_gamma 90.00
_symmetry_space_group_name_H-M 'I -4 m 2'
_symmetry_Int_Tables_number 119
_symmetry_space_group_name_Hall 'I -4 -2'
loop_
_atom_site_label
_atom_site_type_symbol
_atom_site_fract_x
_atom_site_fract_y
_atom_site_fract_z
Cr1 Cr 0.000 0.000 0.000
Cu1 Cu 0.000 0.500 0.750
Mo1 Mo 0.000 0.000 0.500
Mo2 Mo 0.000 0.500 0.250
```

* formation enthalpy at 0 K: 318.2 meV/atom

***

8.
# SrCaPmEu

A relaxed SrCaPmEu crystal (GGA-PBE, Alexandria via LeMat-Bulk).

CIF file:
```
data_SrCaPmEu
_cell_length_a 8.735
_cell_length_b 8.735
_cell_length_c 8.735
_cell_angle_alpha 90.00
_cell_angle_beta 90.00
_cell_angle_gamma 90.00
_symmetry_space_group_name_H-M 'F -4 3 m'
_symmetry_Int_Tables_number 216
_symmetry_space_group_name_Hall 'F -4 2 3'
loop_
_atom_site_label
_atom_site_type_symbol
_atom_site_fract_x
_atom_site_fract_y
_atom_site_fract_z
Sr1 Sr 0.000 0.000 0.000
Ca1 Ca 0.250 0.250 0.250
Pm1 Pm 0.000 0.000 0.500
Eu1 Eu 0.250 0.250 0.750
```

* formation enthalpy at 0 K: 115.4 meV/atom

***

| no. | raw total energy (eV/atom) |
| --- | --- |
| 1 | -3.593 |
| 2 | -3.947 |
| 3 | -5.046 |
| 4 | -5.810 |
| 5 | -7.050 |
| 6 | -4.575 |
| 7 | -8.527 |
| 8 | -4.562 |